# 1
{
  "formula": "Zr2PaH",
  "functional": "GGA-PBE",
  "state": "relaxed",
  "cell": [[1.6281, 0.9400, 8.1073], [-1.6281, 0.9400, 8.1073], [0.0000, -1.8800, 8.1073]],
  "species": ["Zr", "Zr", "Pa", "H"],
  "frac_coords": [[0.2217, 0.2217, 0.2217], [0.7783, 0.7783, 0.7783], [0.0000, 0.0000, 0.0000], [0.5000, 0.5000, 0.5000]],
  "relative_energy_mev_per_atom": 0,
  "dos_at_fermi_per_ev_cell": 5.5
}



# 2
{
  "formula": "H2Pb",
  "functional": "GGA-PBE",
  "state": "relaxed",
  "cell": [[3.3939, 0.0000, 0.0000], [0.0000, 3.3939, 0.0000], [0.0000, 0.0000, 9.5037]],
  "species": ["H", "H", "H", "H", "Pb", "Pb"],
  "frac_coords": [[0.2500, 0.2500, 0.0333], [0.2500, 0.2500, 0.1125], [0.7500, 0.7500, 0.8875], [0.7500, 0.7500, 0.9667], [0.2500, 0.2500, 0.6251], [0.7500, 0.7500, 0.3749]],
  "total_energy_ev_per_atom": -3.435,
  "dos_at_fermi_per_ev_cell": 0.4
}



# 3
{
  "formula": "H5Pb",
  "functional": "GGA-PBE",
  "state": "relaxed",
  "cell": [[1.3697, -4.7415, 0.0000], [1.3697, 4.7415, 0.0000], [0.0000, 0.0000, 4.0727]],
  "species": ["H", "H", "H", "H", "H", "Pb"],
  "frac_coords": [[0.0000, 0.0000, 0.0000], [0.2506, 0.7494, 0.0000], [0.2513, 0.7487, 0.5000], [0.7494, 0.2506, 0.0000], [0.7487, 0.2513, 0.5000], [0.5000, 0.5000, 0.5000]],
  "total_energy_ev_per_atom": -2.591,
  "dos_at_fermi_per_ev_cell": 1.1
}